# LiPrN

An optimized crystal structure of LiPrN (PBE, Alexandria via LeMat-Bulk).

Calculated values
DOS(E_F)   0.5417 states/eV per atom
Final energy   -16.6 eV per cell
Crystal system   cubic

```
LiPrN
1.0
-2.470 -2.071 2.565
1.173 -3.660 1.483
1.013 -0.384 3.975
Pr Li N
1 1 1
Direct
0.000 0.000 0.000 Pr
0.500 0.500 0.500 Li
0.250 0.250 0.250 N
```